No. 1
VASP calculation (PBE-GGA) on an optimized crystal structure of TlCuTe2.

VASP energy (eV/atom): -3.088
D(E_F) (states/eV/atom): 0.553
SG: Cmcm
Formation energy (no corrections) (eV per atom): 0.10

Lattice parameters (Å, degrees): 13.622 13.622 5.037 90.00 90.00 165.81
Atoms (fractional coordinates):
Te 0.790 0.210 0.750
Te 0.118 0.882 0.750
Te 0.210 0.790 0.250
Te 0.882 0.118 0.250
Cu 0.695 0.305 0.750
Cu 0.305 0.695 0.250
Tl 0.044 0.956 0.250
Tl 0.956 0.044 0.750

No. 2
VASP calculation (PBE-GGA) on an optimized crystal structure of Ce6Zn5Cd.

Formation energy from the elements (meV/atom): -196
VASP energy (eV/atom): -3.770
D(E_F) (states/eV/atom): 1.929
SG: C2/m

Lattice parameters (Å, degrees): 5.501 6.398 8.397 67.61 88.81 90.00
Last column: magnetic moment on the atom in μB.
Atoms (fractional coordinates):
Zn 0.000 0.500 0.000  0.00
Zn 0.361 0.838 0.325  0.00
Zn 0.639 0.162 0.675  0.00
Zn 0.359 0.325 0.350  0.00
Zn 0.641 0.675 0.650  0.00
Cd 0.000 0.000 0.000  0.00
Ce 0.858 0.100 0.351  0.27
Ce 0.142 0.900 0.649  0.27
Ce 0.858 0.550 0.351  0.27
Ce 0.142 0.450 0.649  0.27
Ce 0.500 0.716 0.000  0.54
Ce 0.500 0.284 0.000  0.54

No. 3
VASP calculation (PBE-GGA) on an optimized crystal structure of Pu3TeBr7.

VASP energy (eV/atom): -6.684
D(E_F) (states/eV/atom): 3.139
SG: P3m1
Formation energy (no corrections) (eV per atom): -1.42

Lattice parameters (Å, degrees): 6.971 8.638 8.638 120.00 90.00 90.00
Last column: magnetic moment on the atom in μB.
Atoms (fractional coordinates):
Pu 0.784 0.498 0.997  5.14
Pu 0.784 0.003 0.502  5.14
Pu 0.784 0.498 0.502  5.14
Br 0.565 0.824 0.648  -0.06
Br 0.020 0.667 0.333  -0.06
Br 0.565 0.352 0.176  -0.06
Br 0.006 0.651 0.826  -0.06
Br 0.006 0.174 0.349  -0.06
Br 0.006 0.174 0.826  -0.06
Br 0.565 0.824 0.176  -0.06
Te 0.527 0.333 0.667  -0.17

- Which value of D(E_F) does entry 1 give?
  0.553 states/eV/atom

- The highest D(E_F) belongs to which entry?
  Pu3TeBr7

- Among the records above, which one has the highest VASP energy?
  TlCuTe2